Below is an optimized crystal structure of BaGeIN2, with properties calculated at the PBE level.

Geometry as POSCAR:
```
BaGeIN2
1.0
5.1680 0.0000 0.0000
0.0000 5.1680 0.0000
0.0000 0.0000 6.9453
I Ge Ba N
1 1 1 2
Cartesian
0.0000 0.0000 3.4727
2.5840 2.5840 3.4727
0.0000 0.0000 0.0000
0.0000 2.5840 0.0000
2.5840 0.0000 0.0000
```

The value obtained for the energy relative to the elements, uncorrected is 136.5 kJ per mole of atoms.